Entry 1:
DFT (PBE-GGA) results for an optimized crystal structure of AlPOs2.

a b c (Å): 4.340 4.340 4.340
angles (deg): 60.00 60.00 60.00
Atoms (fractional coordinates):
Os (0.250, 0.250, 0.250)
Os (0.000, 0.000, 0.000)
P (0.750, 0.750, 0.750)
Al (0.500, 0.500, 0.500)

Computed properties:
Formation energy from the elements: 0.4545 eV/atom
Calculated volume: 58 Å³ per cell
Energy above the lowest structure with this stoichiometry: 691 meV per atom
Electronic total energy: -0.5475 Ry per atom
DOS(E_F): 1.239 states/eV/atom

---

Entry 2:
DFT (PBE-GGA) results for an optimized crystal structure of Al2POs.

a b c (Å): 2.844 2.844 8.835
angles (deg): 90.00 90.00 119.98
Atoms (fractional coordinates):
Al (0.500, 0.500, 0.267)
Al (0.000, 0.000, 0.993)
P (0.500, 0.500, 0.727)
Os (0.000, 0.000, 0.513)

Computed properties:
Formation energy from the elements: 0.1945 eV/atom
Calculated volume: 62 Å³ per cell
Electronic total energy: -0.4290 Ry per atom
DOS(E_F): 0.727 states/eV/atom

---

Entry 3:
DFT (PBE-GGA) results for an optimized crystal structure of AlP2Os.

a b c (Å): 6.007 6.007 6.007
angles (deg): 151.91 139.36 50.13
Atoms (fractional coordinates):
P (0.429, 0.429, 0.000)
P (0.071, 0.071, 0.000)
Os (0.250, 0.750, 0.500)
Al (0.750, 0.250, 0.500)

Computed properties:
Formation energy from the elements: 0.0530 eV/atom
Calculated volume: 66 Å³ per cell
Electronic total energy: -0.4700 Ry per atom
DOS(E_F): 0.375 states/eV/atom

---

Entry 4:
DFT (PBE-GGA) results for an optimized crystal structure of AlPOs2.

a b c (Å): 2.972 4.837 3.946
angles (deg): 90.00 90.00 90.00
Atoms (fractional coordinates):
P (0.500, 0.000, 0.500)
Os (0.500, 0.500, 0.000)
Os (0.000, 0.000, 0.000)
Al (0.000, 0.500, 0.500)

Computed properties:
Formation energy from the elements: 0.2188 eV/atom
Calculated volume: 57 Å³ per cell
Energy above the lowest structure with this stoichiometry: 455 meV per atom
Electronic total energy: -0.5648 Ry per atom
DOS(E_F): 0.873 states/eV/atom

---

Entry 5:
DFT (PBE-GGA) results for an optimized crystal structure of AlP4Os.

a b c (Å): 4.949 4.949 4.949
angles (deg): 60.00 60.00 60.00
Atoms (fractional coordinates):
Al (0.750, 0.750, 0.750)
P (0.377, 0.869, 0.377)
P (0.377, 0.377, 0.869)
P (0.869, 0.377, 0.377)
P (0.377, 0.377, 0.377)
Os (0.000, 0.000, 0.000)

Computed properties:
Formation energy from the elements: 0.8946 eV/atom
Calculated volume: 86 Å³ per cell
Electronic total energy: -0.3827 Ry per atom
DOS(E_F): 0.696 states/eV/atom

---

Entry 6:
DFT (PBE-GGA) results for an optimized crystal structure of AlP2Os.

a b c (Å): 2.819 2.819 9.125
angles (deg): 90.00 90.00 120.89
Atoms (fractional coordinates):
Al (0.500, 0.500, 0.250)
P (0.000, 0.000, 0.532)
P (0.000, 0.000, 0.968)
Os (0.500, 0.500, 0.750)

Computed properties:
Formation energy from the elements: 0.3553 eV/atom
Calculated volume: 62 Å³ per cell
Electronic total energy: -0.4478 Ry per atom
DOS(E_F): 0.556 states/eV/atom

---

Entry 7:
DFT (PBE-GGA) results for an optimized crystal structure of AlPOs2.

a b c (Å): 2.808 3.798 5.142
angles (deg): 90.00 90.00 90.00
Atoms (fractional coordinates):
Al (0.500, 0.500, 0.774)
Os (0.000, 0.000, 0.968)
Os (0.500, 0.500, 0.290)
P (0.000, 0.000, 0.468)

Computed properties:
Formation energy from the elements: -0.0594 eV/atom
Calculated volume: 55 Å³ per cell
Energy above the lowest structure with this stoichiometry: 177 meV per atom
Electronic total energy: -0.5852 Ry per atom
DOS(E_F): 0.429 states/eV/atom

---

Entry 8:
DFT (PBE-GGA) results for an optimized crystal structure of AlP3Os.

a b c (Å): 4.630 4.630 4.630
angles (deg): 90.00 90.00 90.00
Atoms (fractional coordinates):
Os (0.000, 0.000, 0.000)
P (0.000, 0.500, 0.000)
P (0.500, 0.000, 0.000)
P (0.000, 0.000, 0.500)
Al (0.500, 0.500, 0.500)

Computed properties:
Formation energy from the elements: 0.7620 eV/atom
Calculated volume: 99 Å³ per cell
Energy above the lowest structure with this stoichiometry: 0 meV per atom
Electronic total energy: -0.4027 Ry per atom
DOS(E_F): 0.958 states/eV/atom